# 1
A relaxed structure of Ce2TmAl, computed with PBE.

Structure (POSCAR):
```
Ce2TmAl
1.0
-0.5898 2.0817 -3.2842
-3.2138 -2.1308 -0.7735
-3.9208 4.5996 3.6196
Tm Al Ce
1 1 2
Cartesian
-3.8622 2.2752 -0.2190 Tm
-1.9018 -0.0246 -2.0288 Al
-3.1368 3.6799 2.8959 Ce
-0.7839 0.9196 0.7237 Ce
```

## Properties
SG = P4/mmm
Energy above the lowest structure with this stoichiometry = 10.94 kJ/mol of atoms

# 2
A relaxed structure of Sm3Zn3Pd, computed with PBE.

Structure (POSCAR):
```
Sm3Zn3Pd
1.0
4.4194 0.0000 -0.9641
-0.1817 3.5860 -0.8330
-0.0990 0.4601 10.1572
Sm Zn Pd
3 3 1
Cartesian
1.1763 3.2065 5.3920 Sm
2.9863 0.8663 3.0777 Sm
4.1167 4.0216 8.2595 Sm
0.4669 2.4152 2.1403 Zn
3.6654 1.6238 6.1906 Zn
2.3899 2.0954 0.3440 Zn
1.7532 1.9556 8.0362 Pd
```

## Properties
Uncorrected energy = -3.76 eV/atom
SG = Imm2

# 3
A relaxed structure of Na3In4Pd8, computed with PBE.

Structure (POSCAR):
```
Na3In4Pd8
1.0
-6.1137 -3.7475 -5.9583
0.9058 -8.8997 -2.6260
-6.1031 -6.3850 2.9840
Na In Pd
6 8 16
Cartesian
-5.4506 -10.9494 -5.4480 Na
-5.8604 -8.0828 -0.1523 Na
-5.8652 -6.8754 -4.2458 Na
-5.4458 -12.1568 -1.3544 Na
-8.6591 -9.7983 -2.8798 Na
-2.6520 -9.2339 -2.7204 Na
0.0000 0.0000 0.0000 In
-2.6039 -6.3236 -4.2921 In
-3.0516 -3.1925 1.4920 In
-3.0568 -1.8737 -2.9791 In
-2.5987 -7.6424 0.1790 In
-6.1084 -5.0662 -1.4871 In
0.4529 -4.4499 -1.3130 In
-5.6555 -9.5161 -2.8001 In
-4.5296 -4.2347 -3.7608 Pd
-6.7815 -14.7976 -1.8394 Pd
-4.5241 -5.6007 0.8705 Pd
-1.3632 -2.2938 -0.6749 Pd
-6.7869 -13.4315 -6.4708 Pd
-9.9478 -16.7384 -4.9253 Pd
-0.8941 -6.9031 -2.0350 Pd
-10.4169 -12.1291 -3.5652 Pd
-1.7971 -5.0750 0.0297 Pd
-9.5140 -13.9572 -5.6300 Pd
-1.8004 -4.2477 -2.7752 Pd
-3.7148 -6.2505 -1.8392 Pd
-9.5107 -14.7845 -2.8250 Pd
-7.5963 -12.7817 -3.7610 Pd
-3.9989 -3.4589 -1.0155 Pd
-7.3122 -15.5733 -4.5847 Pd
```

## Properties
Uncorrected energy = -4.12 eV/atom
SG = Fm-3m

# 4
A relaxed structure of Ce2TmSc3As6, computed with PBE.

Structure (POSCAR):
```
Ce2TmSc3As6
1.0
-1.5854 2.4391 -6.3492
5.4737 -4.2558 0.8382
-5.1615 -4.5652 0.8170
Ce Tm Sc As
2 1 3 6
Cartesian
3.1182 -2.0219 -1.5601 Ce
0.7700 0.2052 -3.9510 Ce
0.0000 0.0000 0.0000 Tm
1.7092 -5.4157 0.0415 Sc
-2.9824 -0.9662 -4.7355 Sc
-0.6366 -3.1909 -2.3470 Sc
-2.0503 -3.6048 -4.7002 As
1.5728 -2.6025 -3.9689 As
0.7770 -2.7771 0.0062 As
0.2773 -5.8124 -2.3303 As
-2.8461 -3.7794 -0.7252 As
-1.5506 -0.5695 -2.3637 As
```

## Properties
Uncorrected energy = -6.67 eV/atom
SG = C2/m

# 5
A relaxed structure of Gd2CoTc, computed with PBE.

Structure (POSCAR):
```
Gd2CoTc
1.0
-2.6934 -1.9900 -0.7976
1.1420 -0.2479 -3.2380
3.5708 -5.5067 1.6809
Gd Co Tc
2 1 1
Cartesian
2.6905 -4.1491 1.2665 Gd
0.8803 -1.3576 0.4144 Gd
-0.7757 -1.1189 -2.0178 Co
1.0097 -3.8723 -1.1773 Tc
```

## Properties
SG = P4/mmm
Energy above the lowest structure with this stoichiometry = 0.00 kJ/mol of atoms

# 6
A relaxed structure of La6Sb3As2Br, computed with PBE.

Structure (POSCAR):
```
La6Sb3As2Br
1.0
4.5034 0.0000 0.0000
0.0000 8.9989 0.3583
-2.2517 -2.5526 9.4594
La Sb As Br
6 3 2 1
Cartesian
0.0000 6.4304 6.5407 La
2.2517 4.3028 3.4329 La
2.2517 0.0159 3.2771 La
0.0000 2.3087 0.2181 La
2.2517 4.1377 9.5996 La
0.0000 2.1435 6.3849 La
2.2517 4.4995 0.1792 Sb
2.2517 -0.2371 6.4523 Sb
0.0000 6.6834 3.3655 Sb
2.2517 4.3115 6.5447 As
0.0000 2.1349 3.2731 As
2.2517 0.0000 0.0000 Br
```

## Properties
SG = C2/m
Formation energy without anion corrections = -1.42 eV/atom

# 7
A relaxed structure of InSiAg, computed with PBE.

Structure (POSCAR):
```
InSiAg
1.0
4.4680 0.0000 0.0000
0.0000 4.4680 0.0000
0.0000 0.0000 6.4999
Si Ag In
2 2 2
Cartesian
0.0000 2.2340 1.4451 Si
2.2340 0.0000 5.0548 Si
0.0000 2.2340 5.4631 Ag
2.2340 0.0000 1.0368 Ag
0.0000 0.0000 3.2499 In
2.2340 2.2340 3.2499 In
```

## Properties
SG = P4/nmm
Formation energy without anion corrections = 0.41 eV/atom

# 8
A relaxed structure of Ba3Ta4NbO15, computed with PBE.

Structure (POSCAR):
```
Ba3Ta4NbO15
1.0
-12.2047 -1.8107 3.3259
2.7299 -11.9852 3.4926
0.8257 1.2729 3.7229
Ba Ta Nb O
6 8 2 30
Cartesian
0.0000 0.0000 0.0000 Ba
-4.7374 -6.8979 3.4093 Ba
-0.2238 -8.3059 2.8896 Ba
-9.2510 -5.4900 3.9289 Ba
-5.8767 -11.1844 5.1276 Ba
-3.5981 -2.6114 1.6909 Ba
0.0591 -2.0532 2.8595 Ta
-8.7082 -10.4697 7.6819 Ta
-5.8404 -3.8492 4.7821 Ta
-2.8087 -8.6737 5.7593 Ta
-8.9851 -1.7068 4.7470 Ta
0.3360 -10.8161 5.7944 Ta
-6.7131 -7.5648 6.2461 Ta
-1.9360 -4.9581 4.2953 Ta
1.7778 -5.3561 3.6077 Nb
-5.6895 -0.2689 3.5244 Nb
1.3649 -5.9926 1.7463 O
-6.1023 -0.9053 1.6630 O
-0.8902 -9.2409 5.5278 O
-7.7589 -3.2820 5.0137 O
-7.1650 -9.3890 6.9701 O
-1.4841 -3.1339 3.5713 O
-0.3922 -2.6315 0.9867 O
-9.0826 -11.1643 5.8318 O
-6.2635 -4.5510 2.9453 O
-3.2113 -9.2448 3.8733 O
-9.4554 -2.3765 2.9097 O
-0.0194 -11.4193 3.9089 O
-7.0576 -8.2158 4.3745 O
-2.4171 -5.5800 2.4440 O
-3.7399 -0.0619 3.0212 O
-4.9092 -12.4610 7.5202 O
-8.5135 -6.8007 6.3841 O
-0.1356 -5.7222 4.1573 O
-10.7779 -5.2580 6.3589 O
2.1288 -7.2649 4.1825 O
-3.4727 -10.3693 6.4863 O
-5.1764 -2.1536 4.0551 O
-1.1133 -0.4275 2.5637 O
-7.5358 -12.0954 7.9777 O
-6.2197 -5.7051 5.5008 O
-2.4294 -6.8178 5.0406 O
-10.5842 -2.7317 5.4521 O
1.9351 -9.7912 5.0893 O
-4.7669 -8.0637 5.9850 O
-3.8822 -4.4592 4.5564 O
```

## Properties
SG = P4/mbm
Formation energy without anion corrections = -2.94 eV/atom

- Which formula does entry 4 have?
  Ce2TmSc3As6

Copy entry 1 word for word.
A relaxed structure of Ce2TmAl, computed with PBE.

Structure (POSCAR):
```
Ce2TmAl
1.0
-0.5898 2.0817 -3.2842
-3.2138 -2.1308 -0.7735
-3.9208 4.5996 3.6196
Tm Al Ce
1 1 2
Cartesian
-3.8622 2.2752 -0.2190 Tm
-1.9018 -0.0246 -2.0288 Al
-3.1368 3.6799 2.8959 Ce
-0.7839 0.9196 0.7237 Ce
```

## Properties
SG = P4/mmm
Energy above the lowest structure with this stoichiometry = 10.94 kJ/mol of atoms